Li2Hg6Pb3, relaxed, DFT PBE; M_tot = 0.00 μB/f.u.; energy of formation from the pure elements = -0.049 eV per atom
1.0
-3.601 -0.810 -2.099
1.823 -3.373 -1.825
-4.012 -7.005 13.878
Pb Hg Li
3 6 2
Cartesian
-4.101 -8.054 5.847
0.000 0.000 0.000
-1.689 -3.135 4.106
-3.207 -9.330 9.099
-3.111 -6.215 3.440
-2.679 -4.973 6.514
0.128 -3.140 0.991
-5.918 -8.048 8.962
-2.583 -1.859 0.854
-2.263 -4.642 1.378
-3.527 -6.547 8.575

Li7Hg2Pb2, relaxed, DFT PBE; M_tot = 0.00 μB/f.u.; energy of formation from the pure elements = -0.132 eV per atom
1.0
0.183 -5.596 2.796
5.743 1.848 3.328
-3.312 4.007 3.485
Li Hg Pb
7 2 2
Cartesian
2.365 3.298 4.074
2.878 0.635 5.716
0.801 2.503 7.214
0.249 -3.039 5.536
0.000 0.000 0.000
-0.264 -0.376 3.895
1.813 -2.244 2.397
-2.351 1.367 3.296
4.965 -1.108 6.314
2.219 0.592 2.975
0.395 -0.334 6.636

Li4Hg2Pb, relaxed, DFT PBE; M_tot = 0.00 μB/f.u.; energy of formation from the pure elements = -0.287 eV per atom
1.0
4.749 0.000 0.000
0.000 6.708 0.000
0.000 0.000 9.354
Hg Li Pb
4 8 2
Cartesian
2.375 3.353 7.082
2.375 3.356 2.272
2.375 0.002 2.405
2.375 6.707 6.949
2.375 4.850 4.677
2.375 1.495 9.354
0.000 5.028 7.013
2.375 1.859 4.677
0.000 5.035 2.335
2.375 5.213 0.000
0.000 1.673 7.019
0.000 1.681 2.342
0.000 3.354 0.000
0.000 0.000 4.677

Please write out number 3 again, unchanged.
Li4Hg2Pb, relaxed, DFT PBE; M_tot = 0.00 μB/f.u.; energy of formation from the pure elements = -0.287 eV per atom
1.0
4.749 0.000 0.000
0.000 6.708 0.000
0.000 0.000 9.354
Hg Li Pb
4 8 2
Cartesian
2.375 3.353 7.082
2.375 3.356 2.272
2.375 0.002 2.405
2.375 6.707 6.949
2.375 4.850 4.677
2.375 1.495 9.354
0.000 5.028 7.013
2.375 1.859 4.677
0.000 5.035 2.335
2.375 5.213 0.000
0.000 1.673 7.019
0.000 1.681 2.342
0.000 3.354 0.000
0.000 0.000 4.677

- What is the formula in the third record?
  Li4Hg2Pb